[1]
MnNi2Ru PBE relaxed; magnetization = 2.08 μB per formula unit; energy of formation = 0.0283 eV per atom; crystal system = tetragonal
1.0
-1.802 1.802 3.702
1.802 -1.802 3.702
1.802 1.802 -3.702
Mn Ni Ru
1 2 1
Cartesian
0.000 0.000 0.000
1.802 0.000 1.851
0.000 1.802 1.851
0.000 0.000 3.702

[2]
NbVTc PBE relaxed; magnetization = 0.00 μB per formula unit; energy of formation = -0.1830 eV per atom; crystal system = trigonal
1.0
4.368 0.000 0.000
-2.184 3.783 0.000
0.000 0.000 2.794
Nb V Tc
1 1 1
Cartesian
0.000 0.000 0.000
0.000 2.522 0.976
2.184 1.261 1.867

[3]
Pt2SeN PBE relaxed; magnetization = 0.00 μB per formula unit; uncorrected formation energy = 1.63 eV per formula unit; crystal system = tetragonal
1.0
-2.386 2.386 6.059
2.386 -2.386 6.059
2.386 2.386 -6.059
Pt Se N
4 2 2
Cartesian
3.579 0.678 -1.515
0.678 1.193 1.515
-1.193 1.709 4.544
1.709 1.193 7.574
2.386 0.000 3.030
0.000 0.000 6.059
0.000 0.000 0.000
0.000 2.386 3.030

[4]
Bi2Pd2Pt PBE relaxed; magnetization = 0.00 μB per formula unit; energy of formation = -0.0042 eV per atom; crystal system = tetragonal
1.0
7.858 0.000 0.000
0.000 7.858 0.000
0.000 0.000 3.441
Bi Pd Pt
4 4 2
Cartesian
1.320 2.609 0.000
2.609 6.538 0.000
5.249 1.320 0.000
6.538 5.249 0.000
1.022 4.951 1.720
2.907 1.022 1.720
4.951 6.836 1.720
6.836 2.907 1.720
0.000 0.000 0.000
3.929 3.929 0.000

[5]
SmHo4In4 PBE relaxed; magnetization = 0.00 μB per formula unit; energy of formation = -0.1557 eV per atom; crystal system = tetragonal
1.0
7.221 0.000 0.000
0.000 7.221 0.000
0.000 0.000 10.539
Sm Ho In
2 8 8
Cartesian
1.805 5.416 2.635
5.416 1.805 7.904
0.136 1.805 1.716
1.805 0.136 6.985
1.805 3.475 6.985
3.475 1.805 1.716
3.746 5.416 8.823
5.416 3.746 3.554
5.416 7.086 3.554
7.086 5.416 8.823
0.253 1.805 4.859
1.805 0.253 10.128
1.805 3.358 10.128
3.358 1.805 4.859
3.863 5.416 5.680
5.416 3.863 0.411
5.416 6.968 0.411
6.968 5.416 5.680

[6]
HfSc2CrC PBE relaxed; magnetization = 1.81 μB per formula unit; energy of formation = 0.8994 eV per atom; crystal system = tetragonal
1.0
5.000 0.000 0.000
0.000 5.000 0.000
0.000 0.000 3.796
Hf Sc Cr C
1 2 1 1
Cartesian
0.000 0.000 0.000
0.000 2.500 1.898
2.500 0.000 1.898
2.500 2.500 1.898
2.500 2.500 0.000

> What is the magnetization in the third record?

0.00 μB per formula unit

> What is the magnetization in the second record?

0.00 μB per formula unit

> What is the magnetization in the first record?

2.08 μB per formula unit

> Number 6 is which compound?

HfSc2CrC